Density functional theory data (PBE-GGA) for a relaxed ZnSnN2 crystal.

Output
Density ... 6.27 g cm⁻³
V ... 56.2 Å³/cell
Raw total energy ... -4.57 eV/atom
ΔE_f (raw) ... 3.66 eV/f.u.
Total moment ... 0.00 μB per formula unit

The structure in CIF format:
```
data_ZnSnN2
_cell_length_a 6.369
_cell_length_b 6.369
_cell_length_c 6.369
_cell_angle_alpha 29.70
_cell_angle_beta 29.70
_cell_angle_gamma 29.70
_space_group_name_H-M_alt 'P 1'
_space_group_IT_number 1
loop_
_space_group_symop_operation_xyz
'x,y,z'
loop_
_atom_site_label
_atom_site_type_symbol
_atom_site_fract_x
_atom_site_fract_y
_atom_site_fract_z
_atom_site_occupancy
N1 N 0.112 0.112 0.112 1
Sn1 Sn 0.000 0.000 0.000 1
Zn1 Zn 0.500 0.500 0.500 1
N2 N 0.888 0.888 0.888 1
```

---

Density functional theory data (PBE-GGA) for a relaxed Zn2SnN crystal.

Output
Density ... 6.61 g cm⁻³
V ... 66.3 Å³/cell
Raw total energy ... -2.61 eV/atom
ΔE_f (raw) ... 4.42 eV/f.u.
E above lowest polymorph ... 912.5 meV/atom
Total moment ... 0.01 μB per formula unit

The structure in CIF format:
```
data_Zn2SnN
_cell_length_a 4.542
_cell_length_b 4.542
_cell_length_c 4.542
_cell_angle_alpha 60.00
_cell_angle_beta 60.00
_cell_angle_gamma 60.00
_space_group_name_H-M_alt 'P 1'
_space_group_IT_number 1
loop_
_space_group_symop_operation_xyz
'x,y,z'
loop_
_atom_site_label
_atom_site_type_symbol
_atom_site_fract_x
_atom_site_fract_y
_atom_site_fract_z
_atom_site_occupancy
Sn1 Sn 0.500 0.500 0.500 1
Zn1 Zn 0.250 0.250 0.250 1
N1 N 0.000 0.000 0.000 1
Zn2 Zn 0.750 0.750 0.750 1
```

---

Density functional theory data (PBE-GGA) for a relaxed Zr5Sn2N crystal.

Output
Density ... 6.02 g cm⁻³
V ... 390.4 Å³/cell
Raw total energy ... -7.61 eV/atom
ΔE_f (raw) ... -1.79 eV/f.u.
Total moment ... 0.00 μB per formula unit

The structure in CIF format:
```
data_Zr5Sn2N
_cell_length_a 4.276
_cell_length_b 8.211
_cell_length_c 11.515
_cell_angle_alpha 90.00
_cell_angle_beta 90.00
_cell_angle_gamma 105.09
_space_group_name_H-M_alt 'P 1'
_space_group_IT_number 1
loop_
_space_group_symop_operation_xyz
'x,y,z'
loop_
_atom_site_label
_atom_site_type_symbol
_atom_site_fract_x
_atom_site_fract_y
_atom_site_fract_z
_atom_site_occupancy
Sn1 Sn 0.925 0.851 0.132 1
Zr1 Zr 0.886 0.772 0.885 1
Zr2 Zr 0.886 0.772 0.615 1
Zr3 Zr 0.736 0.472 0.250 1
Zr4 Zr 0.264 0.528 0.750 1
Sn2 Sn 0.925 0.851 0.368 1
Zr5 Zr 0.699 0.398 0.568 1
N1 N 0.782 0.564 0.750 1
Zr6 Zr 0.114 0.228 0.385 1
Zr7 Zr 0.114 0.228 0.115 1
Sn3 Sn 0.075 0.149 0.868 1
Zr8 Zr 0.301 0.602 0.068 1
Zr9 Zr 0.301 0.602 0.432 1
N2 N 0.218 0.436 0.250 1
Zr10 Zr 0.699 0.398 0.932 1
Sn4 Sn 0.075 0.149 0.632 1
```

---

Density functional theory data (PBE-GGA) for a relaxed ZrSnN2 crystal.

Output
Density ... 6.13 g cm⁻³
V ... 128.9 Å³/cell
Raw total energy ... -7.93 eV/atom
ΔE_f (raw) ... -2.54 eV/f.u.
Total moment ... 0.00 μB per formula unit

The structure in CIF format:
```
data_ZrSnN2
_cell_length_a 3.995
_cell_length_b 3.995
_cell_length_c 8.076
_cell_angle_alpha 90.00
_cell_angle_beta 90.00
_cell_angle_gamma 90.00
_space_group_name_H-M_alt 'P 1'
_space_group_IT_number 1
loop_
_space_group_symop_operation_xyz
'x,y,z'
loop_
_atom_site_label
_atom_site_type_symbol
_atom_site_fract_x
_atom_site_fract_y
_atom_site_fract_z
_atom_site_occupancy
Zr1 Zr 0.000 0.500 0.606 1
Zr2 Zr 0.500 0.000 0.394 1
N1 N 0.500 0.000 0.132 1
N2 N 0.000 0.500 0.868 1
N3 N 0.500 0.500 0.500 1
N4 N 0.000 0.000 0.500 1
Sn1 Sn 0.000 0.500 0.131 1
Sn2 Sn 0.500 0.000 0.869 1
```

---

Density functional theory data (PBE-GGA) for a relaxed ZrSn2N crystal.

Output
Density ... 7.21 g cm⁻³
V ... 157.9 Å³/cell
Raw total energy ... -5.95 eV/atom
ΔE_f (raw) ... 1.07 eV/f.u.
Total moment ... 0.00 μB per formula unit

The structure in CIF format:
```
data_ZrSn2N
_cell_length_a 7.009
_cell_length_b 7.009
_cell_length_c 5.907
_cell_angle_alpha 53.61
_cell_angle_beta 53.61
_cell_angle_gamma 90.00
_space_group_name_H-M_alt 'P 1'
_space_group_IT_number 1
loop_
_space_group_symop_operation_xyz
'x,y,z'
loop_
_atom_site_label
_atom_site_type_symbol
_atom_site_fract_x
_atom_site_fract_y
_atom_site_fract_z
_atom_site_occupancy
N1 N 0.250 0.750 0.500 1
Zr1 Zr 0.750 0.250 0.500 1
Sn1 Sn 0.546 0.125 0.250 1
Sn2 Sn 0.875 0.796 0.750 1
Sn3 Sn 0.375 0.454 0.750 1
Sn4 Sn 0.204 0.625 0.250 1
Zr2 Zr 0.000 0.000 0.000 1
N2 N 0.500 0.500 0.000 1
```

---

Density functional theory data (PBE-GGA) for a relaxed Zr2SnN crystal.

Output
Density ... 6.54 g cm⁻³
V ... 160.1 Å³/cell
Raw total energy ... -8.12 eV/atom
ΔE_f (raw) ... -3.04 eV/f.u.
Total moment ... 0.00 μB per formula unit

The structure in CIF format:
```
data_Zr2SnN
_cell_length_a 6.684
_cell_length_b 6.684
_cell_length_c 5.932
_cell_angle_alpha 55.71
_cell_angle_beta 55.71
_cell_angle_gamma 90.00
_space_group_name_H-M_alt 'P 1'
_space_group_IT_number 1
loop_
_space_group_symop_operation_xyz
'x,y,z'
loop_
_atom_site_label
_atom_site_type_symbol
_atom_site_fract_x
_atom_site_fract_y
_atom_site_fract_z
_atom_site_occupancy
Zr1 Zr 0.375 0.481 0.750 1
Sn1 Sn 0.000 0.000 0.000 1
N1 N 0.500 0.500 0.000 1
N2 N 0.250 0.750 0.500 1
Zr2 Zr 0.875 0.769 0.750 1
Zr3 Zr 0.519 0.125 0.250 1
Zr4 Zr 0.231 0.625 0.250 1
Sn2 Sn 0.750 0.250 0.500 1
```

---

Density functional theory data (PBE-GGA) for a relaxed ZrSnN3 crystal.

Output
Density ... 6.44 g cm⁻³
V ... 65.0 Å³/cell
Raw total energy ... -6.75 eV/atom
ΔE_f (raw) ... 3.76 eV/f.u.
Total moment ... 0.00 μB per formula unit

The structure in CIF format:
```
data_ZrSnN3
_cell_length_a 4.020
_cell_length_b 4.020
_cell_length_c 4.020
_cell_angle_alpha 90.00
_cell_angle_beta 90.00
_cell_angle_gamma 90.00
_space_group_name_H-M_alt 'P 1'
_space_group_IT_number 1
loop_
_space_group_symop_operation_xyz
'x,y,z'
loop_
_atom_site_label
_atom_site_type_symbol
_atom_site_fract_x
_atom_site_fract_y
_atom_site_fract_z
_atom_site_occupancy
N1 N 0.500 0.000 0.000 1
N2 N 0.000 0.000 0.500 1
Sn1 Sn 0.000 0.000 0.000 1
Zr1 Zr 0.500 0.500 0.500 1
N3 N 0.000 0.500 0.000 1
```

---

Density functional theory data (PBE-GGA) for a relaxed ZrSnN2 crystal.

Output
Density ... 5.38 g cm⁻³
V ... 146.8 Å³/cell
Raw total energy ... -7.71 eV/atom
ΔE_f (raw) ... -1.63 eV/f.u.
Total moment ... 0.00 μB per formula unit

The structure in CIF format:
```
data_ZrSnN2
_cell_length_a 5.422
_cell_length_b 5.422
_cell_length_c 6.294
_cell_angle_alpha 64.49
_cell_angle_beta 64.49
_cell_angle_gamma 90.00
_space_group_name_H-M_alt 'P 1'
_space_group_IT_number 1
loop_
_space_group_symop_operation_xyz
'x,y,z'
loop_
_atom_site_label
_atom_site_type_symbol
_atom_site_fract_x
_atom_site_fract_y
_atom_site_fract_z
_atom_site_occupancy
N1 N 0.560 0.125 0.250 1
Sn1 Sn 0.750 0.250 0.500 1
Sn2 Sn 0.000 0.000 0.000 1
N2 N 0.375 0.440 0.750 1
Zr1 Zr 0.250 0.750 0.500 1
N3 N 0.190 0.625 0.250 1
Zr2 Zr 0.500 0.500 0.000 1
N4 N 0.875 0.810 0.750 1
```

---

Copy entry 5 word for word.
Density functional theory data (PBE-GGA) for a relaxed ZrSn2N crystal.

Output
Density ... 7.21 g cm⁻³
V ... 157.9 Å³/cell
Raw total energy ... -5.95 eV/atom
ΔE_f (raw) ... 1.07 eV/f.u.
Total moment ... 0.00 μB per formula unit

The structure in CIF format:
```
data_ZrSn2N
_cell_length_a 7.009
_cell_length_b 7.009
_cell_length_c 5.907
_cell_angle_alpha 53.61
_cell_angle_beta 53.61
_cell_angle_gamma 90.00
_space_group_name_H-M_alt 'P 1'
_space_group_IT_number 1
loop_
_space_group_symop_operation_xyz
'x,y,z'
loop_
_atom_site_label
_atom_site_type_symbol
_atom_site_fract_x
_atom_site_fract_y
_atom_site_fract_z
_atom_site_occupancy
N1 N 0.250 0.750 0.500 1
Zr1 Zr 0.750 0.250 0.500 1
Sn1 Sn 0.546 0.125 0.250 1
Sn2 Sn 0.875 0.796 0.750 1
Sn3 Sn 0.375 0.454 0.750 1
Sn4 Sn 0.204 0.625 0.250 1
Zr2 Zr 0.000 0.000 0.000 1
N2 N 0.500 0.500 0.000 1
```

---

- Which of these has the lowest density?
  number 8

---

- What is the total moment in the seventh record?
  0.00 μB per formula unit

---

- The highest density belongs to which entry?
  ZrSn2N